The following is a PBE with a Hubbard U calculation of a geometry-optimized MnSbOF2 structure, from the Alexandria database.

Results
- Offset from the most stable computed form: 0.000 eV/atom
- SG: P4/mmm (123)

```
MnSbOF2
1.0
4.153 0.000 0.000
0.000 4.153 0.000
0.000 0.000 4.133
Sb O F Mn
1 1 2 1
direct
0.500 0.500 0.500
0.000 0.000 0.500
0.500 0.000 0.000
0.000 0.500 0.000
0.000 0.000 0.000
```